No. 1
Entry from Alexandria: crystalline CaIn2Cu at its relaxed geometry (GGA-PBE).

D(E_F) (states/eV/cell): 1.55
Volume (A^3/atom): 23.820
E_form (eV per atom): -0.12

Cell lengths 3.6065, 3.6065, 7.3255 Å; angles 90.00, 90.00, 90.00 degrees
Last column: nearest neighbours and their distance in Å.
Space group P4mm (No. 99)
One atom of each set of equivalent atoms:
Ca 0.0000 0.0000 0.0000  5 In 3.18-3.37, 4 Cu 3.21
In 0.0000 0.0000 0.4339  4 Cu 2.83
In 0.5000 0.5000 0.7002  1 Cu 3.18, 4 In 3.21, 4 Ca 3.37
Cu 0.5000 0.5000 0.2664  4 In 2.83

=====

No. 2
Entry from Alexandria: crystalline CaIn2Cu at its relaxed geometry (GGA-PBE).

D(E_F) (states/eV/cell): 1.38
Volume (A^3/atom): 22.606
E_form (eV per atom): -0.18

Cell lengths 3.4472, 3.4472, 7.6094 Å; angles 90.00, 90.00, 90.00 degrees
Last column: nearest neighbours and their distance in Å.
Space group P4/mmm (No. 123)
One atom of each set of equivalent atoms:
Ca 0.0000 0.0000 0.0000  8 In 3.34, 4 Ca 3.45
In 0.5000 0.5000 0.2994  4 Cu 2.88, 1 In 3.05
Cu 0.0000 0.0000 0.5000  8 In 2.88

=====

No. 3
Entry from Alexandria: crystalline CaIn7Cu5 at its relaxed geometry (GGA-PBE).

D(E_F) (states/eV/cell): 7.77
Volume (A^3/atom): 19.582
E_form (eV per atom): -0.07

Cell lengths 5.5975, 9.5620, 9.5122 Å; angles 90.00, 90.00, 90.00 degrees
Last column: nearest neighbours and their distance in Å.
Space group Imm2 (No. 44)
One atom of each set of equivalent atoms:
Ca 0.0000 0.0000 0.0000  10 In 3.19-3.57
In 0.0000 0.0000 0.3475  4 Cu 3.00, 5 In 3.01-3.21, 1 Ca 3.31
In 0.0000 0.0000 0.6649  6 Cu 2.81-2.96, 1 In 3.02
In 0.0000 0.3049 0.4879  5 Cu 2.71-2.91, 1 In 2.98
In 0.0000 0.3382 0.0148  5 Cu 2.78-3.00, 2 In 3.09-3.10
In 0.0000 0.5000 0.7321  4 Cu 2.82, 6 In 2.98-3.10
Cu 0.0000 0.5000 0.2663  4 Cu 2.74, 6 In 2.81-2.96
Cu 0.2425 0.2426 0.7511  7 In 2.71-3.00, 3 Cu 2.71-2.88

=====

The records above yield M_tot values of 0.00 0.00 0.00 Bohr magnetons per cell, respectively.